## FeCoIr2 (meta-GGA SCAN)

Data for a PBEsol-optimized structure of FeCoIr2.

a b c (Å): 3.9196 2.6221 9.5421
angles (deg): 90.00 90.00 90.00
Closest atoms and distances in Å follow each position.
Space group Amm2 (No. 38)
Inequivalent atoms, fractional coordinates:
Fe: 0.0000 0.0000 0.0000 [2 per cell]  2 Co 2.31, 5 Ir 2.52-2.58
Co: 0.5000 0.0000 0.1290 [2 per cell]  2 Fe 2.31, 5 Ir 2.51-2.57
Ir: 0.0000 0.0000 0.7360 [2 per cell]  3 Fe 2.52-2.61, 4 Co 2.57, 6 Ir 2.62-2.79
Ir: 0.5000 0.0000 0.3915 [2 per cell]  3 Co 2.51-2.62, 4 Fe 2.58, 6 Ir 2.62-2.79

- total energy (eV/atom) = -44.400
- ΔH_f (0 K) (eV per atom) = 0.008
- total moment (Bohr magnetons per cell) = 9.3